# 1
VASP calculation (PBE-GGA) on GePbN3 after structural relaxation.

Results
The magnetic moment is 2.9 μB per cell. As for the formation energy without anion corrections: 2.1986 eV per atom. The density of states at the Fermi level is 1.394 states/eV/atom. As for the energy: -22.31 eV per formula unit.

a = 4.334 Å, b = 4.334 Å, c = 4.334 Å
α = 90.00°, β = 90.00°, γ = 90.00°
Space group Pm-3m (No. 221)
Symmetry-distinct sites (fractional):
Ge1 0.000 0.000 0.000
Pb1 0.500 0.500 0.500
N1 0.000 0.500 0.500



# 2
VASP calculation (PBE-GGA) on GePbN2 after structural relaxation.

Results
The magnetic moment is 0.0 μB per cell. As for the formation energy without anion corrections: 0.2572 eV per atom. The density of states at the Fermi level is 0.000 states/eV/atom. As for the energy: -23.95 eV per formula unit.

a = 5.859 Å, b = 10.741 Å, c = 9.040 Å
α = 90.00°, β = 90.00°, γ = 90.00°
Space group Cmce (No. 64)
Symmetry-distinct sites (fractional):
Ge1 0.000 0.034 0.143
Pb1 0.000 0.164 0.461
N1 0.000 0.119 0.957
N2 0.250 0.095 0.250



# 3
VASP calculation (PBE-GGA) on GePbN2 after structural relaxation.

Results
The magnetic moment is 0.0 μB per cell. As for the formation energy without anion corrections: 0.3041 eV per atom. The density of states at the Fermi level is 0.000 states/eV/atom. As for the energy: -23.76 eV per formula unit.

a = 5.658 Å, b = 5.658 Å, c = 7.636 Å
α = 90.00°, β = 90.00°, γ = 90.00°
Space group I-42d (No. 122)
Symmetry-distinct sites (fractional):
Ge1 0.000 0.000 0.000
Pb1 0.000 0.000 0.500
N1 0.143 0.250 0.125



# 4
VASP calculation (PBE-GGA) on GePbN2 after structural relaxation.

Results
The magnetic moment is 0.0 μB per cell. As for the formation energy without anion corrections: 0.4185 eV per atom. The density of states at the Fermi level is 0.081 states/eV/atom. As for the energy: -23.30 eV per formula unit.

a = 3.834 Å, b = 3.834 Å, c = 7.731 Å
α = 90.00°, β = 90.00°, γ = 90.00°
Space group P4/nmm (No. 129, origin choice 2)
Symmetry-distinct sites (fractional):
Ge1 0.250 0.250 0.094
Pb1 0.250 0.250 0.649
N1 0.250 0.250 0.337
N2 0.250 0.750 0.000



# 5
VASP calculation (PBE-GGA) on GePbN3 after structural relaxation.

Results
The magnetic moment is 3.0 μB per cell. As for the formation energy without anion corrections: 1.2364 eV per atom. The density of states at the Fermi level is 0.189 states/eV/atom. As for the energy: -27.12 eV per formula unit.

a = 3.962 Å, b = 3.962 Å, c = 3.962 Å
α = 90.00°, β = 90.00°, γ = 90.00°
Space group Pm-3m (No. 221)
Symmetry-distinct sites (fractional):
Ge1 0.000 0.000 0.000
Pb1 0.500 0.500 0.500
N1 0.000 0.000 0.500



# 6
VASP calculation (PBE-GGA) on Ge3PbN after structural relaxation.

Results
The magnetic moment is 0.0 μB per cell. As for the formation energy without anion corrections: 2.1871 eV per atom. The density of states at the Fermi level is 0.652 states/eV/atom. As for the energy: -14.95 eV per formula unit.

a = 5.411 Å, b = 5.411 Å, c = 5.411 Å
α = 90.00°, β = 90.00°, γ = 90.00°
Space group Pm-3m (No. 221)
Symmetry-distinct sites (fractional):
Ge1 0.000 0.000 0.500
Pb1 0.000 0.000 0.000
N1 0.500 0.500 0.500



# 7
VASP calculation (PBE-GGA) on GePbN2 after structural relaxation.

Results
The magnetic moment is 0.0 μB per cell. As for the formation energy without anion corrections: 0.7895 eV per atom. The density of states at the Fermi level is 0.000 states/eV/atom. As for the energy: -21.82 eV per formula unit.

a = 3.9720 Å, b = 3.9720 Å, c = 18.2163 Å
α = 90.00°, β = 90.00°, γ = 120.00°
Space group R-3m (No. 166, hexagonal axes)
Symmetry-distinct sites (fractional):
Ge1 0.0000 0.0000 0.0000
Pb1 0.0000 0.0000 0.5000
N1 0.0000 0.0000 0.0939



# 8
VASP calculation (PBE-GGA) on Pr4GePbN after structural relaxation.

Results
The magnetic moment is 0.0 μB per cell. As for the formation energy without anion corrections: -0.7644 eV per atom. The density of states at the Fermi level is 0.574 states/eV/atom. As for the energy: -41.12 eV per formula unit.

a = 6.962 Å, b = 16.388 Å, c = 6.972 Å
α = 90.00°, β = 90.00°, γ = 90.00°
Space group Cmcm (No. 63)
Symmetry-distinct sites (fractional):
Pr1 0.000 0.080 0.250
Pr2 0.000 0.410 0.250
Pr3 0.250 0.250 0.000
Ge1 0.000 0.115 0.750
Pb1 0.000 0.394 0.750
N1 0.000 0.245 0.250



# 9
VASP calculation (PBE-GGA) on GePbS2N after structural relaxation.

Results
The magnetic moment is 1.3 μB per cell. As for the formation energy without anion corrections: 1.0819 eV per atom. The density of states at the Fermi level is 0.346 states/eV/atom. As for the energy: -19.50 eV per formula unit.

a = 5.252 Å, b = 5.252 Å, c = 4.258 Å
α = 90.00°, β = 90.00°, γ = 90.00°
Space group P4/mmm (No. 123)
Symmetry-distinct sites (fractional):
Ge1 0.000 0.000 0.000
Pb1 0.500 0.500 0.500
S1 0.000 0.500 0.500
N1 0.500 0.500 0.000



# 10
VASP calculation (PBE-GGA) on GePbSeN2 after structural relaxation.

Results
The magnetic moment is 2.2 μB per cell. As for the formation energy without anion corrections: 1.5834 eV per atom. The density of states at the Fermi level is 0.475 states/eV/atom. As for the energy: -20.54 eV per formula unit.

a = 4.347 Å, b = 4.347 Å, c = 5.767 Å
α = 90.00°, β = 90.00°, γ = 90.00°
Space group P4/mmm (No. 123)
Symmetry-distinct sites (fractional):
Ge1 0.000 0.000 0.000
Pb1 0.500 0.500 0.500
Se1 0.500 0.500 0.000
N1 0.000 0.500 0.500



# 11
VASP calculation (PBE-GGA) on GePbSeN2 after structural relaxation.

Results
The magnetic moment is 2.4 μB per cell. As for the formation energy without anion corrections: 1.0602 eV per atom. The density of states at the Fermi level is 0.431 states/eV/atom. As for the energy: -23.16 eV per formula unit.

a = 4.267 Å, b = 4.267 Å, c = 5.746 Å
α = 90.00°, β = 90.00°, γ = 90.00°
Space group P4/mmm (No. 123)
Symmetry-distinct sites (fractional):
Ge1 0.000 0.000 0.000
Pb1 0.500 0.500 0.500
Se1 0.000 0.000 0.500
N1 0.000 0.500 0.000



# 12
VASP calculation (PBE-GGA) on Tb4GePbN after structural relaxation.

Results
The magnetic moment is 0.0 μB per cell. As for the formation energy without anion corrections: -0.8898 eV per atom. The density of states at the Fermi level is 0.583 states/eV/atom. As for the energy: -41.40 eV per formula unit.

a = 6.639 Å, b = 15.771 Å, c = 6.646 Å
α = 90.00°, β = 90.00°, γ = 90.00°
Space group Cmcm (No. 63)
Symmetry-distinct sites (fractional):
Tb1 0.000 0.082 0.250
Tb2 0.000 0.408 0.250
Tb3 0.250 0.250 0.000
Ge1 0.000 0.114 0.750
Pb1 0.000 0.396 0.750
N1 0.000 0.249 0.250



# 13
VASP calculation (PBE-GGA) on GeTePbN2 after structural relaxation.

Results
The magnetic moment is 2.4 μB per cell. As for the formation energy without anion corrections: 1.6150 eV per atom. The density of states at the Fermi level is 0.356 states/eV/atom. As for the energy: -20.04 eV per formula unit.

a = 4.403 Å, b = 4.403 Å, c = 6.341 Å
α = 90.00°, β = 90.00°, γ = 90.00°
Space group P4/mmm (No. 123)
Symmetry-distinct sites (fractional):
Ge1 0.000 0.000 0.000
Te1 0.500 0.500 0.000
Pb1 0.500 0.500 0.500
N1 0.000 0.500 0.500



# 14
VASP calculation (PBE-GGA) on GeTePbN2 after structural relaxation.

Results
The magnetic moment is 2.0 μB per cell. As for the formation energy without anion corrections: 1.1968 eV per atom. The density of states at the Fermi level is 0.448 states/eV/atom. As for the energy: -22.13 eV per formula unit.

a = 4.217 Å, b = 4.217 Å, c = 5.547 Å
α = 90.00°, β = 90.00°, γ = 90.00°
Space group P4/mmm (No. 123)
Symmetry-distinct sites (fractional):
Ge1 0.000 0.000 0.000
Te1 0.000 0.000 0.500
Pb1 0.500 0.500 0.500
N1 0.000 0.500 0.000



# 15
VASP calculation (PBE-GGA) on ZnGe2PbN after structural relaxation.

Results
The magnetic moment is 0.0 μB per cell. As for the formation energy without anion corrections: 2.0487 eV per atom. The density of states at the Fermi level is 1.510 states/eV/atom. As for the energy: -12.30 eV per formula unit.

a = 5.466 Å, b = 5.466 Å, c = 5.059 Å
α = 90.00°, β = 90.00°, γ = 90.00°
Space group P4/mmm (No. 123)
Symmetry-distinct sites (fractional):
Zn1 0.000 0.000 0.000
Ge1 0.000 0.500 0.500
Pb1 0.000 0.000 0.500
N1 0.500 0.500 0.000



# 16
VASP calculation (PBE-GGA) on GePd3N after structural relaxation.

Results
The magnetic moment is 2.0 μB per cell. As for the formation energy without anion corrections: 1.3261 eV per atom. The density of states at the Fermi level is 0.606 states/eV/atom. As for the energy: -21.89 eV per formula unit.

a = 4.661 Å, b = 4.661 Å, c = 4.661 Å
α = 90.00°, β = 90.00°, γ = 90.00°
Space group Pm-3m (No. 221)
Symmetry-distinct sites (fractional):
Ge1 0.000 0.000 0.000
Pd1 0.000 0.000 0.500
N1 0.500 0.500 0.500



# 17
VASP calculation (PBE-GGA) on GePdN3 after structural relaxation.

Results
The magnetic moment is 0.0 μB per cell. As for the formation energy without anion corrections: 2.0046 eV per atom. The density of states at the Fermi level is 1.216 states/eV/atom. As for the energy: -24.76 eV per formula unit.

a = 3.936 Å, b = 3.936 Å, c = 3.936 Å
α = 90.00°, β = 90.00°, γ = 90.00°
Space group Pm-3m (No. 221)
Symmetry-distinct sites (fractional):
Ge1 0.000 0.000 0.000
Pd1 0.500 0.500 0.500
N1 0.000 0.500 0.500



# 18
VASP calculation (PBE-GGA) on GePdN after structural relaxation.

Results
The magnetic moment is 0.0 μB per cell. As for the formation energy without anion corrections: 0.1530 eV per atom. The density of states at the Fermi level is 0.585 states/eV/atom. As for the energy: -17.68 eV per formula unit.

a = 3.124 Å, b = 3.017 Å, c = 9.098 Å
α = 90.00°, β = 90.00°, γ = 90.00°
Space group Amm2 (No. 38)
Symmetry-distinct sites (fractional):
Ge1 0.000 0.000 0.000
Pd1 0.500 0.000 0.791
N1 0.000 0.000 0.622



# 19
VASP calculation (PBE-GGA) on GePdN after structural relaxation.

Results
The magnetic moment is 0.0 μB per cell. As for the formation energy without anion corrections: 0.4745 eV per atom. The density of states at the Fermi level is 0.765 states/eV/atom. As for the energy: -16.71 eV per formula unit.

a = 3.410 Å, b = 3.631 Å, c = 4.481 Å
α = 69.97°, β = 68.64°, γ = 62.87°
Space group P1 (No. 1)
Symmetry-distinct sites (fractional):
Ge1 0.000 0.000 0.000
Pd1 0.441 0.454 0.661
N1 0.844 0.861 0.446



# 20
VASP calculation (PBE-GGA) on GePdN after structural relaxation.

Results
The magnetic moment is 0.0 μB per cell. As for the formation energy without anion corrections: -0.0050 eV per atom. The density of states at the Fermi level is 0.253 states/eV/atom. As for the energy: -18.15 eV per formula unit.

a = 2.9945 Å, b = 2.9945 Å, c = 16.1039 Å
α = 90.00°, β = 90.00°, γ = 120.00°
Space group R3m (No. 160, hexagonal axes)
Symmetry-distinct sites (fractional):
Ge1 0.0000 0.0000 0.0000
Pd1 0.0000 0.0000 0.8529
N1 0.0000 0.0000 0.7184



# 21
VASP calculation (PBE-GGA) on GePdN after structural relaxation.

Results
The magnetic moment is 0.0 μB per cell. As for the formation energy without anion corrections: 0.2900 eV per atom. The density of states at the Fermi level is 0.487 states/eV/atom. As for the energy: -17.27 eV per formula unit.

a = 3.884 Å, b = 2.996 Å, c = 4.316 Å
α = 90.00°, β = 111.05°, γ = 90.00°
Space group Pm (No. 6)
Symmetry-distinct sites (fractional):
Ge1 0.000 0.000 0.000
Pd1 0.588 0.500 0.236
N1 0.748 0.500 0.755



# 22
VASP calculation (PBE-GGA) on Ge3PdN after structural relaxation.

Results
The magnetic moment is 0.0 μB per cell. As for the formation energy without anion corrections: 0.5269 eV per atom. The density of states at the Fermi level is 0.629 states/eV/atom. As for the energy: -24.74 eV per formula unit.

a = 4.292 Å, b = 4.292 Å, c = 4.292 Å
α = 90.00°, β = 90.00°, γ = 90.00°
Space group Pm-3m (No. 221)
Symmetry-distinct sites (fractional):
Ge1 0.000 0.000 0.500
Pd1 0.500 0.500 0.500
N1 0.000 0.000 0.000



# 23
VASP calculation (PBE-GGA) on Ge3PdN after structural relaxation.

Results
The magnetic moment is 0.0 μB per cell. As for the formation energy without anion corrections: 1.2791 eV per atom. The density of states at the Fermi level is 0.494 states/eV/atom. As for the energy: -20.97 eV per formula unit.

a = 4.766 Å, b = 4.766 Å, c = 4.766 Å
α = 90.00°, β = 90.00°, γ = 90.00°
Space group Pm-3m (No. 221)
Symmetry-distinct sites (fractional):
Ge1 0.000 0.000 0.500
Pd1 0.000 0.000 0.000
N1 0.500 0.500 0.500



# 24
VASP calculation (PBE-GGA) on GePd3N after structural relaxation.

Results
The magnetic moment is 0.0 μB per cell. As for the formation energy without anion corrections: 0.2217 eV per atom. The density of states at the Fermi level is 0.668 states/eV/atom. As for the energy: -27.41 eV per formula unit.

a = 4.197 Å, b = 4.197 Å, c = 4.197 Å
α = 90.00°, β = 90.00°, γ = 90.00°
Space group Pm-3m (No. 221)
Symmetry-distinct sites (fractional):
Ge1 0.000 0.000 0.000
Pd1 0.000 0.500 0.500
N1 0.500 0.500 0.500



# 25
VASP calculation (PBE-GGA) on GePdN3 after structural relaxation.

Results
The magnetic moment is 0.0 μB per cell. As for the formation energy without anion corrections: 1.6134 eV per atom. The density of states at the Fermi level is 1.080 states/eV/atom. As for the energy: -26.72 eV per formula unit.

a = 3.779 Å, b = 3.779 Å, c = 3.779 Å
α = 90.00°, β = 90.00°, γ = 90.00°
Space group Pm-3m (No. 221)
Symmetry-distinct sites (fractional):
Ge1 0.000 0.000 0.000
Pd1 0.500 0.500 0.500
N1 0.000 0.000 0.500



# 26
VASP calculation (PBE-GGA) on RbGePdN2 after structural relaxation.

Results
The magnetic moment is 2.3 μB per cell. As for the formation energy without anion corrections: 1.3965 eV per atom. The density of states at the Fermi level is 0.480 states/eV/atom. As for the energy: -20.45 eV per formula unit.

a = 4.430 Å, b = 4.430 Å, c = 4.853 Å
α = 90.00°, β = 90.00°, γ = 90.00°
Space group P4/mmm (No. 123)
Symmetry-distinct sites (fractional):
Rb1 0.000 0.000 0.000
Ge1 0.500 0.500 0.000
Pd1 0.500 0.500 0.500
N1 0.000 0.500 0.500



# 27
VASP calculation (PBE-GGA) on GePdS2N after structural relaxation.

Results
The magnetic moment is 0.0 μB per cell. As for the formation energy without anion corrections: 0.8968 eV per atom. The density of states at the Fermi level is 1.398 states/eV/atom. As for the energy: -21.91 eV per formula unit.

a = 4.846 Å, b = 4.846 Å, c = 3.521 Å
α = 90.00°, β = 90.00°, γ = 90.00°
Space group P4/mmm (No. 123)
Symmetry-distinct sites (fractional):
Ge1 0.000 0.000 0.000
Pd1 0.500 0.500 0.500
S1 0.000 0.500 0.000
N1 0.000 0.000 0.500